1.
Pr4ZnBi | PBE | optimized geometry

Cell: 8.467 8.467 6.221 Å, 101.24 101.24 115.50°
Positions (direct):
Pr: 0.079 0.711 0.940
Pr: 0.213 0.390 0.644
Pr: 0.289 0.921 0.560
Pr: 0.390 0.213 0.144
Pr: 0.610 0.787 0.856
Pr: 0.711 0.079 0.440
Pr: 0.787 0.610 0.356
Pr: 0.921 0.289 0.060
Zn: 0.000 0.000 0.250
Zn: 0.000 0.000 0.750
Bi: 0.384 0.616 0.250
Bi: 0.616 0.384 0.750

Computed properties:
**Total moment**: 0.00 μB/f.u.
**Calculated formation energy**: -0.361 eV per atom
**VASP energy**: -4.406 eV/atom

2.
KAs2Cl | PBE | optimized geometry

Cell: 6.789 3.920 8.443 Å, 90.00 105.51 90.00°
Positions (direct):
K: 0.000 0.000 0.000
K: 0.500 0.500 0.000
As: 0.279 0.500 0.335
As: 0.499 0.000 0.495
As: 0.779 0.000 0.335
As: 0.999 0.500 0.495
Cl: 0.257 0.000 0.770
Cl: 0.757 0.500 0.770

Computed properties:
**Total moment**: 0.00 μB/f.u.
**VASP energy**: -3.762 eV/atom
**E above lowest polymorph**: 0.00 eV per formula unit